[1]
DFT (PBE) results for CsK2Sb after structural relaxation.

Cell lengths 6.0632, 6.0632, 19.8178 Å; angles 90.00, 90.00, 120.00 degrees
Space group R3m (No. 160, hexagonal axes)
Unique sites:
Cs 0.0000 0.0000 0.0000 (multiplicity 3)
K 0.0000 0.0000 0.5428 (multiplicity 3)
K 0.0000 0.0000 0.8038 (multiplicity 3)
Sb 0.0000 0.0000 0.2042 (multiplicity 3)

[2]
DFT (PBE) results for Sc2TiCl after structural relaxation.

Cell lengths 3.2733, 3.2733, 26.1212 Å; angles 90.00, 90.00, 120.00 degrees
Space group R-3m (No. 166, hexagonal axes)
Unique sites:
Sc 0.0000 0.0000 0.2454 (multiplicity 6)
Ti 0.0000 0.0000 0.0000 (multiplicity 3)
Cl 0.0000 0.0000 0.5000 (multiplicity 3)

## Properties
The distance to the lowest polymorph of the same formula comes out at 0 meV/atom.

| no. | ΔE_f (raw) (meV per atom) |
| --- | --- |
| 1 | -346 |
| 2 | -548 |